# 1
NbAu2: relaxed, PBE-GGA.

Unit cell a=4.674 b=4.674 c=2.758 alpha=90.00 beta=90.00 gamma=120.00
Element x y z (fractional)
1 Au 0.333 0.667 0.500
2 Au 0.667 0.333 0.500
3 Nb 0.000 0.000 0.000

SG: No. 191
Raw total energy, eV/cell: -16.99

=====

# 2
Nb2Au: relaxed, PBE-GGA.

Unit cell a=8.416 b=8.416 c=8.416 alpha=59.99 beta=59.99 gamma=59.99
Element x y z (fractional)
1 Au 0.500 0.500 0.500
2 Au 0.250 0.250 0.250
3 Nb 0.375 0.875 0.375
4 Nb 0.875 0.375 0.375
5 Nb 0.375 0.375 0.375
6 Nb 0.375 0.375 0.875

SG: No. 227
Raw total energy, eV/cell: -28.01